[1]
The following is a DFT calculation (PBE-GGA) of an optimized crystal structure of Pm2HoRe.

Properties
As for the total energy: -5.7642 eV per atom. The total magnetization is 0.01 μB per formula unit. Its formation energy is 84 kJ/mol of atoms.

a = 3.2917 Å, b = 3.2917 Å, c = 34.3212 Å
α = 90.00°, β = 90.00°, γ = 120.00°
Closest atoms and distances in Å follow each position.
Space group R-3m (No. 166, hexagonal axes)
Symmetry-distinct sites (fractional):
Pm  0.0000  0.0000  0.0778 [6 per cell]  1 Re 2.67
Ho  0.0000  0.0000  0.5000 [3 per cell]  6 Ho 3.29, 6 Pm 3.59
Re  0.0000  0.0000  0.0000 [3 per cell]  2 Pm 2.67

=====

[2]
The following is a DFT calculation (PBE-GGA) of an optimized crystal structure of PmHoRe.

Properties
As for the total energy: -7.0306 eV per atom. The total magnetization is 0.00 μB per formula unit. Its formation energy is 22 kJ/mol of atoms.

a = 4.8373 Å, b = 4.8373 Å, c = 7.2642 Å
α = 90.00°, β = 90.00°, γ = 90.00°
Closest atoms and distances in Å follow each position.
Space group P4/nmm (No. 129, origin choice 2)
Symmetry-distinct sites (fractional):
Pm  0.2500  0.2500  0.2484 [2 per cell]  4 Re 3.02, 1 Ho 3.38
Ho  0.2500  0.2500  0.7836 [2 per cell]  4 Re 2.88
Re  0.2500  0.7500  0.0000 [2 per cell]  4 Ho 2.88, 4 Pm 3.02

=====

[3]
The following is a DFT calculation (PBE-GGA) of an optimized crystal structure of Pm12HoRh7.

Properties
As for the total energy: -6.1406 eV per atom. The total magnetization is 0.00 μB per formula unit. Its formation energy is -47 kJ/mol of atoms.

a = 14.3785 Å, b = 14.3785 Å, c = 9.9535 Å
α = 90.00°, β = 90.00°, γ = 120.00°
Closest atoms and distances in Å follow each position.
Space group R-3 (No. 148, hexagonal axes)
Symmetry-distinct sites (fractional):
Pm  0.0276  0.5876  0.1634 [18 per cell]  3 Rh 2.79-2.81
Pm  0.0478  0.1764  0.8326 [18 per cell]  3 Rh 2.82-2.83
Ho  0.0000  0.0000  0.5000 [3 per cell]  6 Rh 2.88
Rh  0.0000  0.0000  0.0000 [3 per cell]  6 Pm 2.82
Rh  0.0485  0.1813  0.3312 [18 per cell]  5 Pm 2.79-2.83, 1 Ho 2.88

=====

[4]
The following is a DFT calculation (PBE-GGA) of an optimized crystal structure of Pm4HoRh5.

Properties
As for the total energy: -6.7509 eV per atom. The total magnetization is 0.00 μB per formula unit. Its formation energy is -69 kJ/mol of atoms.

a = 3.5316 Å, b = 3.5316 Å, c = 17.1463 Å
α = 90.00°, β = 90.00°, γ = 90.00°
Closest atoms and distances in Å follow each position.
Space group P4/mmm (No. 123)
Symmetry-distinct sites (fractional):
Pm  0.0000  0.0000  0.1011 [2 per cell]  8 Rh 3.04
Pm  0.0000  0.0000  0.3031 [2 per cell]  8 Rh 3.04-3.05, 1 Ho 3.38
Ho  0.0000  0.0000  0.5000 [1 per cell]  8 Rh 2.98
Rh  0.5000  0.5000  0.0000 [1 per cell]  8 Pm 3.04
Rh  0.5000  0.5000  0.2025 [2 per cell]  8 Pm 3.04
Rh  0.5000  0.5000  0.4057 [2 per cell]  4 Ho 2.98, 4 Pm 3.05, 1 Rh 3.23